(1)
DFT (GGA-PBE) results for crystalline AcTbZn2Au2 at its relaxed geometry.

Cell lengths 4.654, 4.654, 7.435 Å; angles 90.00, 90.00, 120.00 degrees
Fractional coordinates of all 6 atoms:
Ac (0.000, 0.000, 0.000)
Tb (0.000, 0.000, 0.500)
Zn (0.333, 0.667, 0.710)
Zn (0.667, 0.333, 0.290)
Au (0.333, 0.667, 0.284)
Au (0.667, 0.333, 0.716)

Output
**Calculated formation energy**: -0.663 eV/atom
**Space group**: No. 164
**Magnetic moment**: 0.00 Bohr magnetons per cell

---

(2)
DFT (GGA-PBE) results for crystalline Ac4Te3Au at its relaxed geometry.

Cell lengths 8.274, 8.274, 4.573 Å; angles 90.00, 90.00, 108.43 degrees
Fractional coordinates of all 8 atoms:
Ac (0.228, 0.228, 0.500)
Ac (0.245, 0.755, 0.000)
Ac (0.755, 0.245, 0.000)
Ac (0.772, 0.772, 0.500)
Te (0.000, 0.500, 0.500)
Te (0.500, 0.000, 0.500)
Te (0.500, 0.500, 0.000)
Au (0.000, 0.000, 0.000)

Output
**ΔE_f (raw)**: -10.5 eV/f.u.
**Space group**: No. 65
**Magnetic moment**: 0.00 Bohr magnetons per cell

---

(3)
DFT (GGA-PBE) results for crystalline AcTe3Au at its relaxed geometry.

Cell lengths 10.351, 10.351, 6.871 Å; angles 90.00, 90.00, 117.85 degrees
Fractional coordinates of all 20 atoms:
Ac (0.085, 0.415, 0.250)
Ac (0.415, 0.085, 0.750)
Ac (0.585, 0.915, 0.250)
Ac (0.915, 0.585, 0.750)
Te (0.041, 0.959, 0.795)
Te (0.113, 0.387, 0.750)
Te (0.242, 0.758, 0.500)
Te (0.258, 0.742, 0.000)
Te (0.387, 0.113, 0.250)
Te (0.459, 0.541, 0.295)
Te (0.541, 0.459, 0.705)
Te (0.613, 0.887, 0.750)
Te (0.742, 0.258, 0.000)
Te (0.758, 0.242, 0.500)
Te (0.887, 0.613, 0.250)
Te (0.959, 0.041, 0.205)
Au (0.097, 0.903, 0.374)
Au (0.403, 0.597, 0.874)
Au (0.597, 0.403, 0.126)
Au (0.903, 0.097, 0.626)

Output
**ΔE_f (raw)**: -3.8 eV/f.u.
**Space group**: No. 64
**Magnetic moment**: 0.00 Bohr magnetons per cell

---

(4)
DFT (GGA-PBE) results for crystalline Ac3Te4Au at its relaxed geometry.

Cell lengths 11.174, 9.768, 6.684 Å; angles 90.00, 90.00, 90.00 degrees
Fractional coordinates of all 16 atoms:
Ac (0.000, 0.231, 0.000)
Ac (0.206, 0.669, 0.997)
Ac (0.294, 0.331, 0.497)
Ac (0.500, 0.769, 0.500)
Ac (0.706, 0.331, 0.497)
Ac (0.794, 0.669, 0.997)
Te (0.000, 0.244, 0.505)
Te (0.000, 0.901, 0.968)
Te (0.218, 0.665, 0.495)
Te (0.282, 0.335, 0.995)
Te (0.500, 0.099, 0.468)
Te (0.500, 0.756, 0.005)
Te (0.718, 0.335, 0.995)
Te (0.782, 0.665, 0.495)
Au (0.000, 0.516, 0.225)
Au (0.500, 0.484, 0.725)

Output
**ΔE_f (raw)**: -10.2 eV/f.u.
**Space group**: No. 31
**Magnetic moment**: 0.00 Bohr magnetons per cell

---

(5)
DFT (GGA-PBE) results for crystalline Ac5Te5Au at its relaxed geometry.

Cell lengths 8.219, 8.219, 9.430 Å; angles 106.81, 106.81, 47.89 degrees
Fractional coordinates of all 11 atoms:
Ac (0.000, 0.000, 0.000)
Ac (0.340, 0.340, 0.672)
Ac (0.347, 0.347, 0.162)
Ac (0.653, 0.653, 0.838)
Ac (0.660, 0.660, 0.328)
Te (0.169, 0.169, 0.834)
Te (0.180, 0.180, 0.331)
Te (0.500, 0.500, 0.500)
Te (0.820, 0.820, 0.669)
Te (0.831, 0.831, 0.166)
Au (0.500, 0.500, 0.000)

Output
**ΔE_f (raw)**: -15.0 eV/f.u.
**Space group**: No. 12
**Magnetic moment**: 0.00 Bohr magnetons per cell

---

(6)
DFT (GGA-PBE) results for crystalline AcTe2Au at its relaxed geometry.

Cell lengths 7.070, 8.417, 8.561 Å; angles 90.00, 90.07, 90.00 degrees
Fractional coordinates of all 16 atoms:
Ac (0.178, 0.046, 0.250)
Ac (0.178, 0.454, 0.750)
Ac (0.822, 0.546, 0.250)
Ac (0.822, 0.954, 0.750)
Te (0.098, 0.750, 0.000)
Te (0.098, 0.750, 0.500)
Te (0.367, 0.080, 0.750)
Te (0.367, 0.420, 0.250)
Te (0.633, 0.580, 0.750)
Te (0.633, 0.920, 0.250)
Te (0.902, 0.250, 0.000)
Te (0.902, 0.250, 0.500)
Au (0.492, 0.250, 0.001)
Au (0.492, 0.250, 0.501)
Au (0.508, 0.750, 0.499)
Au (0.508, 0.750, 0.999)

Output
**ΔE_f (raw)**: -4.3 eV/f.u.
**Space group**: No. 14
**Magnetic moment**: 0.00 Bohr magnetons per cell

---

(7)
DFT (GGA-PBE) results for crystalline Ac5Te12Au3 at its relaxed geometry.

Cell lengths 16.125, 16.125, 16.125 Å; angles 109.47, 109.47, 109.47 degrees
Fractional coordinates of all 80 atoms:
Ac (0.000, 0.000, 0.000)
Ac (0.000, 0.000, 0.500)
Ac (0.000, 0.500, 0.000)
Ac (0.000, 0.500, 0.500)
Ac (0.125, 0.750, 0.875)
Ac (0.125, 0.875, 0.250)
Ac (0.250, 0.125, 0.875)
Ac (0.250, 0.625, 0.375)
Ac (0.375, 0.250, 0.625)
Ac (0.375, 0.625, 0.750)
Ac (0.500, 0.000, 0.000)
Ac (0.500, 0.000, 0.500)
Ac (0.500, 0.500, 0.000)
Ac (0.500, 0.500, 0.500)
Ac (0.625, 0.375, 0.250)
Ac (0.625, 0.750, 0.375)
Ac (0.750, 0.375, 0.625)
Ac (0.750, 0.875, 0.125)
Ac (0.875, 0.125, 0.750)
Ac (0.875, 0.250, 0.125)
Te (0.046, 0.616, 0.371)
Te (0.046, 0.930, 0.675)
Te (0.070, 0.245, 0.116)
Te (0.070, 0.325, 0.954)
Te (0.116, 0.070, 0.245)
Te (0.116, 0.546, 0.871)
Te (0.129, 0.745, 0.675)
Te (0.129, 0.884, 0.454)
Te (0.175, 0.245, 0.629)
Te (0.175, 0.430, 0.546)
Te (0.245, 0.116, 0.070)
Te (0.245, 0.629, 0.175)
Te (0.255, 0.325, 0.871)
Te (0.255, 0.430, 0.384)
Te (0.325, 0.871, 0.255)
Te (0.325, 0.954, 0.070)
Te (0.371, 0.046, 0.616)
Te (0.371, 0.825, 0.755)
Te (0.384, 0.255, 0.430)
Te (0.384, 0.629, 0.954)
Te (0.430, 0.384, 0.255)
Te (0.430, 0.546, 0.175)
Te (0.454, 0.129, 0.884)
Te (0.454, 0.825, 0.570)
Te (0.546, 0.175, 0.430)
Te (0.546, 0.871, 0.116)
Te (0.570, 0.454, 0.825)
Te (0.570, 0.616, 0.745)
Te (0.616, 0.371, 0.046)
Te (0.616, 0.745, 0.570)
Te (0.629, 0.175, 0.245)
Te (0.629, 0.954, 0.384)
Te (0.675, 0.046, 0.930)
Te (0.675, 0.129, 0.745)
Te (0.745, 0.570, 0.616)
Te (0.745, 0.675, 0.129)
Te (0.755, 0.371, 0.825)
Te (0.755, 0.884, 0.930)
Te (0.825, 0.570, 0.454)
Te (0.825, 0.755, 0.371)
Te (0.871, 0.116, 0.546)
Te (0.871, 0.255, 0.325)
Te (0.884, 0.454, 0.129)
Te (0.884, 0.930, 0.755)
Te (0.930, 0.675, 0.046)
Te (0.930, 0.755, 0.884)
Te (0.954, 0.070, 0.325)
Te (0.954, 0.384, 0.629)
Au (0.125, 0.250, 0.375)
Au (0.125, 0.375, 0.750)
Au (0.250, 0.375, 0.125)
Au (0.250, 0.875, 0.625)
Au (0.375, 0.125, 0.250)
Au (0.375, 0.750, 0.125)
Au (0.625, 0.250, 0.875)
Au (0.625, 0.875, 0.750)
Au (0.750, 0.125, 0.375)
Au (0.750, 0.625, 0.875)
Au (0.875, 0.625, 0.250)
Au (0.875, 0.750, 0.625)

Output
**ΔE_f (raw)**: -10.3 eV/f.u.
**Space group**: No. 230
**Magnetic moment**: 0.00 Bohr magnetons per cell

---

(8)
DFT (GGA-PBE) results for crystalline Ac5Te4Au at its relaxed geometry.

Cell lengths 4.705, 4.705, 17.055 Å; angles 97.89, 97.89, 90.00 degrees
Fractional coordinates of all 10 atoms:
Ac (0.000, 0.000, 0.000)
Ac (0.202, 0.202, 0.405)
Ac (0.404, 0.404, 0.809)
Ac (0.596, 0.596, 0.191)
Ac (0.798, 0.798, 0.595)
Te (0.103, 0.103, 0.205)
Te (0.304, 0.304, 0.607)
Te (0.696, 0.696, 0.393)
Te (0.897, 0.897, 0.795)
Au (0.500, 0.500, 0.000)

Output
**ΔE_f (raw)**: -13.4 eV/f.u.
**Space group**: No. 12
**Magnetic moment**: 0.00 Bohr magnetons per cell

---

(9)
DFT (GGA-PBE) results for crystalline Ac2Te4Au at its relaxed geometry.

Cell lengths 8.101, 6.458, 9.380 Å; angles 90.00, 106.73, 90.00 degrees
Fractional coordinates of all 14 atoms:
Ac (0.225, 0.250, 0.434)
Ac (0.250, 0.250, 0.936)
Ac (0.750, 0.750, 0.064)
Ac (0.775, 0.750, 0.566)
Te (0.081, 0.750, 0.373)
Te (0.083, 0.750, 0.915)
Te (0.487, 0.506, 0.252)
Te (0.487, 0.994, 0.252)
Te (0.513, 0.006, 0.748)
Te (0.513, 0.494, 0.748)
Te (0.917, 0.250, 0.085)
Te (0.919, 0.250, 0.627)
Au (0.205, 0.750, 0.674)
Au (0.795, 0.250, 0.326)

Output
**ΔE_f (raw)**: -8.1 eV/f.u.
**Space group**: No. 11
**Magnetic moment**: 0.00 Bohr magnetons per cell

---

(10)
DFT (GGA-PBE) results for crystalline AcTe2Au at its relaxed geometry.

Cell lengths 5.178, 5.178, 4.286 Å; angles 90.00, 90.00, 90.00 degrees
Fractional coordinates of all 4 atoms:
Ac (0.000, 0.000, 0.000)
Te (0.000, 0.500, 0.500)
Te (0.500, 0.000, 0.500)
Au (0.500, 0.500, 0.000)

Output
**ΔE_f (raw)**: -3.2 eV/f.u.
**Space group**: No. 123
**Magnetic moment**: 0.00 Bohr magnetons per cell

---

(11)
DFT (GGA-PBE) results for crystalline Ac2Te3Au at its relaxed geometry.

Cell lengths 13.470, 4.668, 12.893 Å; angles 90.00, 90.00, 90.00 degrees
Fractional coordinates of all 24 atoms:
Ac (0.017, 0.250, 0.180)
Ac (0.201, 0.250, 0.492)
Ac (0.299, 0.750, 0.992)
Ac (0.483, 0.750, 0.680)
Ac (0.517, 0.250, 0.320)
Ac (0.701, 0.250, 0.008)
Ac (0.799, 0.750, 0.508)
Ac (0.983, 0.750, 0.820)
Te (0.044, 0.750, 0.382)
Te (0.122, 0.250, 0.941)
Te (0.204, 0.750, 0.693)
Te (0.296, 0.250, 0.193)
Te (0.378, 0.750, 0.441)
Te (0.456, 0.250, 0.882)
Te (0.544, 0.750, 0.118)
Te (0.622, 0.250, 0.559)
Te (0.704, 0.750, 0.807)
Te (0.796, 0.250, 0.307)
Te (0.878, 0.750, 0.059)
Te (0.956, 0.250, 0.618)
Au (0.179, 0.750, 0.208)
Au (0.321, 0.250, 0.708)
Au (0.679, 0.750, 0.292)
Au (0.821, 0.250, 0.792)

Output
**ΔE_f (raw)**: -7.6 eV/f.u.
**Space group**: No. 62
**Magnetic moment**: 0.00 Bohr magnetons per cell

---

(12)
DFT (GGA-PBE) results for crystalline Ac5Te8Au at its relaxed geometry.

Cell lengths 8.611, 8.611, 8.611 Å; angles 110.51, 110.51, 107.42 degrees
Fractional coordinates of all 14 atoms:
Ac (0.000, 0.000, 0.000)
Ac (0.135, 0.513, 0.877)
Ac (0.487, 0.365, 0.623)
Ac (0.635, 0.258, 0.123)
Ac (0.742, 0.865, 0.377)
Te (0.014, 0.251, 0.401)
Te (0.226, 0.094, 0.742)
Te (0.352, 0.484, 0.258)
Te (0.387, 0.986, 0.238)
Te (0.516, 0.774, 0.868)
Te (0.749, 0.150, 0.762)
Te (0.850, 0.613, 0.599)
Te (0.906, 0.648, 0.132)
Au (0.250, 0.750, 0.500)

Output
**ΔE_f (raw)**: -19.2 eV/f.u.
**Space group**: No. 82
**Magnetic moment**: 0.00 Bohr magnetons per cell

---

(13)
DFT (GGA-PBE) results for crystalline Ac2Te3Au at its relaxed geometry.

Cell lengths 9.924, 9.924, 9.924 Å; angles 154.63, 149.47, 40.09 degrees
Fractional coordinates of all 6 atoms:
Ac (0.140, 0.140, 0.000)
Ac (0.860, 0.860, 0.000)
Te (0.000, 0.500, 0.500)
Te (0.321, 0.321, 0.000)
Te (0.679, 0.679, 0.000)
Au (0.500, 0.500, 0.000)

Output
**ΔE_f (raw)**: -6.9 eV/f.u.
**Space group**: No. 71
**Magnetic moment**: 0.00 Bohr magnetons per cell

---

(14)
DFT (GGA-PBE) results for crystalline AcTeAu4 at its relaxed geometry.

Cell lengths 5.817, 5.817, 5.817 Å; angles 60.00, 60.00, 60.00 degrees
Fractional coordinates of all 6 atoms:
Ac (0.000, 0.000, 0.000)
Te (0.250, 0.250, 0.250)
Au (0.126, 0.625, 0.625)
Au (0.625, 0.126, 0.625)
Au (0.625, 0.625, 0.126)
Au (0.625, 0.625, 0.625)

Output
**ΔE_f (raw)**: -3.0 eV/f.u.
**Space group**: No. 216
**Magnetic moment**: 0.00 Bohr magnetons per cell

---

(15)
DFT (GGA-PBE) results for crystalline AcTe3Au3 at its relaxed geometry.

Cell lengths 9.019, 9.019, 9.019 Å; angles 54.00, 54.00, 54.00 degrees
Fractional coordinates of all 14 atoms:
Ac (0.167, 0.167, 0.167)
Ac (0.833, 0.833, 0.833)
Te (0.096, 0.729, 0.413)
Te (0.271, 0.587, 0.904)
Te (0.413, 0.096, 0.729)
Te (0.587, 0.904, 0.271)
Te (0.729, 0.413, 0.096)
Te (0.904, 0.271, 0.587)
Au (0.049, 0.404, 0.760)
Au (0.240, 0.951, 0.596)
Au (0.404, 0.760, 0.049)
Au (0.596, 0.240, 0.951)
Au (0.760, 0.049, 0.404)
Au (0.951, 0.596, 0.240)

Output
**ΔE_f (raw)**: -3.9 eV/f.u.
**Space group**: No. 148
**Magnetic moment**: 0.00 Bohr magnetons per cell

---

(16)
DFT (GGA-PBE) results for crystalline Ac2Te5Au at its relaxed geometry.

Cell lengths 7.046, 7.046, 7.045 Å; angles 111.09, 111.09, 106.27 degrees
Fractional coordinates of all 8 atoms:
Ac (0.250, 0.750, 0.000)
Ac (0.750, 0.250, 0.000)
Te (0.229, 0.768, 0.500)
Te (0.230, 0.230, 0.961)
Te (0.473, 0.473, 0.499)
Te (0.768, 0.229, 0.500)
Te (0.768, 0.768, 0.038)
Au (0.150, 0.150, 0.499)

Output
**ΔE_f (raw)**: -7.0 eV/f.u.
**Space group**: No. 8
**Magnetic moment**: 0.00 Bohr magnetons per cell

---

(17)
DFT (GGA-PBE) results for crystalline AcTe2Au at its relaxed geometry.

Cell lengths 7.187, 7.187, 7.187 Å; angles 38.78, 38.78, 38.78 degrees
Fractional coordinates of all 4 atoms:
Ac (0.000, 0.000, 0.000)
Te (0.240, 0.240, 0.240)
Te (0.760, 0.760, 0.760)
Au (0.500, 0.500, 0.500)

Output
**ΔE_f (raw)**: -3.1 eV/f.u.
**Space group**: No. 166
**Magnetic moment**: 0.00 Bohr magnetons per cell

---

(18)
DFT (GGA-PBE) results for crystalline AcTe3Au3 at its relaxed geometry.

Cell lengths 7.698, 7.698, 7.698 Å; angles 90.00, 90.00, 90.00 degrees
Fractional coordinates of all 14 atoms:
Ac (0.000, 0.000, 0.000)
Ac (0.500, 0.500, 0.500)
Te (0.000, 0.250, 0.500)
Te (0.000, 0.750, 0.500)
Te (0.250, 0.500, 0.000)
Te (0.500, 0.000, 0.250)
Te (0.500, 0.000, 0.750)
Te (0.750, 0.500, 0.000)
Au (0.000, 0.500, 0.250)
Au (0.000, 0.500, 0.750)
Au (0.250, 0.000, 0.500)
Au (0.500, 0.250, 0.000)
Au (0.500, 0.750, 0.000)
Au (0.750, 0.000, 0.500)

Output
**ΔE_f (raw)**: -0.9 eV/f.u.
**Space group**: No. 223
**Magnetic moment**: 0.00 Bohr magnetons per cell